[1]
Here is a relaxed CsTl2IrCl6 crystal from Alexandria via LeMat-Bulk. Energies are from PBE-GGA.

abc: 7.086 9.205 10.914
angles: 90.00 90.00 90.00
Sites, in units of the cell vectors:
Cs 0.000 0.662 0.500
Cs 0.500 0.338 0.000
Tl 0.500 0.844 0.194
Tl 0.000 0.156 0.694
Tl 0.500 0.844 0.806
Tl 0.000 0.156 0.306
Ir 0.500 0.175 0.500
Ir 0.000 0.825 0.000
Cl 0.500 0.175 0.283
Cl 0.500 0.175 0.717
Cl 0.000 0.825 0.217
Cl 0.000 0.825 0.783
Cl 0.263 0.992 0.500
Cl 0.737 0.992 0.500
Cl 0.261 0.354 0.500
Cl 0.739 0.354 0.500
Cl 0.761 0.646 0.000
Cl 0.239 0.646 0.000
Cl 0.237 0.008 0.000
Cl 0.763 0.008 0.000

Output
**Formation energy from raw total energies**: -23.14 kcal/mol of atoms
**Symmetry**: Pmmn

[2]
Here is a relaxed Hf2RePd2 crystal from Alexandria via LeMat-Bulk. Energies are from PBE-GGA.

abc: 7.527 7.527 3.135
angles: 90.00 90.00 90.00
Sites, in units of the cell vectors:
Re 0.000 0.000 0.000
Re 0.500 0.500 0.000
Hf 0.178 0.678 0.500
Hf 0.678 0.822 0.500
Hf 0.822 0.322 0.500
Hf 0.322 0.178 0.500
Pd 0.375 0.875 0.000
Pd 0.875 0.625 0.000
Pd 0.625 0.125 0.000
Pd 0.125 0.375 0.000

Output
**Energy of formation from the pure elements**: -0.23 eV/atom
**Symmetry**: P4/mbm

[3]
Here is a relaxed TiCu5Pd8 crystal from Alexandria via LeMat-Bulk. Energies are from PBE-GGA.

abc: 6.479 6.479 6.479
angles: 110.61 107.21 110.61
Sites, in units of the cell vectors:
Ti 0.250 0.500 0.750
Cu 0.033 0.323 0.126
Cu 0.874 0.907 0.198
Cu 0.802 0.677 0.709
Cu 0.500 0.000 0.500
Cu 0.291 0.093 0.967
Pd 0.151 0.721 0.060
Pd 0.940 0.091 0.661
Pd 0.743 0.263 0.344
Pd 0.656 0.400 0.919
Pd 0.519 0.600 0.257
Pd 0.570 0.909 0.849
Pd 0.339 0.279 0.430
Pd 0.081 0.737 0.481

Output
**Energy of formation from the pure elements**: -0.09 eV/atom
**Symmetry**: I-4

[4]
Here is a relaxed TcB5 crystal from Alexandria via LeMat-Bulk. Energies are from PBE-GGA.

abc: 2.756 3.580 5.017
angles: 110.91 90.00 90.00
Sites, in units of the cell vectors:
B 0.000 0.661 0.322
B 0.000 0.339 0.678
B 0.500 0.500 0.000
B 0.500 0.209 0.417
B 0.500 0.791 0.583
Tc 0.000 0.000 0.000

Output
**Energy of formation from the pure elements**: 0.78 eV/atom
**Symmetry**: Cmmm

no.,spin magnetization (μB per formula unit)
1,0.00
2,0.00
3,0.00
4,0.00